[1]
Cs2Na2NpSe4 | GGA-PBE | optimized geometry

Cell and atoms, written as POSCAR:
```
Cs2Na2NpSe4
1.0
4.508 0.000 0.000
0.000 8.468 0.254
-2.254 -3.125 7.726
Se Np Na Cs
4 1 2 2
Cartesian
0.000 0.299 2.862 Se
2.254 5.045 5.118 Se
2.254 6.595 0.267 Se
0.000 -1.252 7.713 Se
0.000 0.000 0.000 Np
0.000 -1.794 4.972 Na
2.254 7.138 3.007 Na
0.000 3.870 2.251 Cs
2.254 1.474 5.729 Cs
```

Output
Volume: 298.53 Å³/f.u.
Calculated density: 4809 kg/m3
SG: C2/m
Raw formation energy: -1.128 eV per atom

[2]
HfZr2Ir | GGA-PBE | optimized geometry

Cell and atoms, written as POSCAR:
```
HfZr2Ir
1.0
4.955 0.000 0.000
0.000 3.999 0.000
0.000 0.000 3.999
Ir Hf Zr
1 1 2
Cartesian
2.477 1.999 1.999 Ir
2.477 0.000 0.000 Hf
0.000 1.999 0.000 Zr
0.000 0.000 1.999 Zr
```

Output
Volume: 79.22 Å³/f.u.
Energy relative to the elements: -0.303 eV/atom
Calculated density: 11595 kg/m3
SG: P4/mmm

[3]
AcLa5Dy5 | GGA-PBE | optimized geometry

Cell and atoms, written as POSCAR:
```
AcLa5Dy5
1.0
6.288 0.000 0.000
-3.144 5.445 0.000
0.000 0.000 11.877
La Dy Ac
5 5 1
Cartesian
0.000 0.000 0.000 La
3.144 1.815 1.858 La
0.000 3.630 3.855 La
0.000 3.630 8.022 La
3.144 1.815 10.019 La
0.000 0.000 3.162 Dy
0.000 0.000 8.715 Dy
4.725 0.902 5.939 Dy
3.144 3.641 5.939 Dy
1.562 0.902 5.939 Dy
0.000 3.630 0.000 Ac
```

Output
Volume: 406.66 Å³/f.u.
Energy relative to the elements: 0.248 eV/atom
Calculated density: 7081 kg/m3
SG: P-6m2

[4]
FeBiN2 | GGA-PBE | optimized geometry

Cell and atoms, written as POSCAR:
```
FeBiN2
1.0
1.790 0.000 6.576
-0.895 1.551 6.576
-0.895 -1.551 6.576
Fe Bi N
1 1 2
Cartesian
0.000 0.000 9.864 Fe
0.000 0.000 0.000 Bi
0.000 0.000 17.353 N
0.000 0.000 2.375 N
```

Output
Volume: 54.77 Å³/f.u.
Calculated density: 8878 kg/m3
SG: R-3m
Raw formation energy: 0.641 eV per atom

[5]
Th2Co4CuGe3 | GGA-PBE | optimized geometry

Cell and atoms, written as POSCAR:
```
Th2Co4CuGe3
1.0
-2.861 -2.690 0.945
2.691 -2.105 2.154
-2.343 5.360 8.165
Th Ge Cu Co
2 3 1 4
Cartesian
-2.034 0.036 2.577 Th
-0.393 2.926 7.138 Th
-1.171 2.680 4.082 Ge
1.049 -0.375 2.110 Ge
-3.477 3.337 7.605 Ge
-1.256 0.283 5.632 Cu
-2.923 2.069 5.673 Co
-0.085 -2.398 1.550 Co
0.495 0.893 4.041 Co
0.000 0.000 0.000 Co
```

Output
Volume: 163.87 Å³/f.u.
Energy relative to the elements: -0.494 eV/atom
Calculated density: 9944 kg/m3
SG: P-4m2

[6]
ZrCr2Br | GGA-PBE | optimized geometry

Cell and atoms, written as POSCAR:
```
ZrCr2Br
1.0
5.035 0.031 0.000
-1.695 4.742 0.000
0.000 0.000 3.183
Br Cr Zr
1 2 1
Cartesian
-0.848 2.371 1.591 Br
0.000 0.000 0.000 Cr
1.670 2.386 0.000 Cr
2.518 0.016 1.591 Zr
```

Output
Volume: 76.16 Å³/f.u.
Calculated density: 5999 kg/m3
SG: Cmmm
Raw formation energy: 0.660 eV per atom

[7]
CdMoPb2 | GGA-PBE | optimized geometry

Cell and atoms, written as POSCAR:
```
CdMoPb2
1.0
5.222 0.000 0.000
2.611 4.523 0.000
2.611 1.508 4.264
Pb Cd Mo
2 1 1
Cartesian
0.000 0.000 0.000 Pb
2.611 1.508 1.066 Pb
5.222 3.015 2.132 Cd
7.834 4.523 3.198 Mo
```

Output
Volume: 100.72 Å³/f.u.
Energy relative to the elements: 0.793 eV/atom
Calculated density: 10267 kg/m3
SG: F-43m

[8]
Al2RuAu | GGA-PBE | optimized geometry

Cell and atoms, written as POSCAR:
```
Al2RuAu
1.0
-1.861 4.423 -2.149
-4.084 -0.150 -3.308
1.642 -1.320 4.817
Al Ru Au
2 1 1
Cartesian
-0.082 0.059 -0.075 Al
-1.585 2.612 -0.020 Al
-2.631 0.278 -0.539 Ru
-2.978 2.140 -2.733 Au
```

Output
Volume: 60.36 Å³/f.u.
Energy relative to the elements: -0.446 eV/atom
Calculated density: 9683 kg/m3
SG: Imm2